Crystalline TmTl5I8 at its relaxed geometry. Source: Alexandria via LeMat-Bulk, functional PBE-GGA.

Cell: 9.0742 9.0742 9.0742 Å, 109.95 109.95 108.52°
Closest atoms and distances in Å follow each position.
Sites, in units of the cell vectors:
Tm 0.0000 0.0000 0.0000  4 I 3.05
Tl 0.2494 0.1498 0.6261  6 I 3.38-3.69
Tl 0.3767 0.7506 0.9005  6 I 3.38-3.69
Tl 0.5238 0.6233 0.3739  6 I 3.38-3.69
Tl 0.7500 0.2500 0.5000  4 I 3.49
Tl 0.8502 0.4762 0.0995  6 I 3.38-3.69
I 0.0018 0.7919 0.6574  1 Tm 3.05
I 0.1056 0.3445 0.8933  4 Tl 3.38-3.69, 1 Tm 3.52
I 0.1344 0.3443 0.3426  1 Tm 3.05
I 0.2081 0.8656 0.2099  1 Tm 3.05
I 0.4511 0.2123 0.1067  4 Tl 3.38-3.69, 1 Tm 3.52
I 0.6555 0.5489 0.7612  4 Tl 3.38-3.69, 1 Tm 3.52
I 0.6557 0.9982 0.7901  1 Tm 3.05
I 0.7877 0.8944 0.2388  4 Tl 3.38-3.69, 1 Tm 3.52



Crystalline CsIn4S6 at its relaxed geometry. Source: Alexandria via LeMat-Bulk, functional PBE-GGA.

Cell: 7.1876 7.1876 7.1876 Å, 116.58 116.58 96.03°
Closest atoms and distances in Å follow each position.
Sites, in units of the cell vectors:
Cs 0.0000 0.0000 0.0000  4 In 3.52, 8 S 3.52-3.78
In 0.1969 0.1969 0.6251  4 S 2.60-2.84
In 0.4282 0.8031 0.0000  4 S 2.60-2.84
In 0.5718 0.5718 0.3749  4 S 2.60-2.84
In 0.8031 0.4282 0.0000  4 S 2.60-2.84
S 0.0000 0.5000 0.5000  4 In 2.97, 4 S 3.32
S 0.1663 0.4788 0.0000  4 In 2.60-2.84
S 0.4788 0.1663 0.0000  4 In 2.60-2.84
S 0.5000 0.0000 0.5000  4 In 2.97, 4 S 3.32
S 0.5212 0.5212 0.6875  4 In 2.60-2.84
S 0.8337 0.8337 0.3125  4 In 2.60-2.84



no.,energy (eV/atom)
1,-2.850
2,-3.643